Record 1
This record from the Alexandria database describes a geometry-optimized K2Al2F7 structure. The functional is PBE-GGA.

abc: 6.9086 6.9086 4.7763
angles: 100.84 100.84 109.19
Atoms (fractional coordinates):
1 K 0.1823 0.8177 0.0000
2 K 0.8177 0.1823 0.0000
3 Al 0.3243 0.3243 0.6700
4 Al 0.6757 0.6757 0.3300
5 F 0.1402 0.4127 0.7948
6 F 0.1557 0.1557 0.3305
7 F 0.4127 0.1402 0.7948
8 F 0.5000 0.5000 0.5000
9 F 0.5873 0.8598 0.2052
10 F 0.8443 0.8443 0.6695
11 F 0.8598 0.5873 0.2052

Results
The uncorrected formation energy comes out at -3.04 eV per atom. Its symmetry is No. 12.


Record 2
This record from the Alexandria database describes a geometry-optimized KLiAl2F8 structure. The functional is PBE-GGA.

abc: 8.1193 8.1193 8.1193
angles: 36.91 36.91 36.91
Atoms (fractional coordinates):
1 K 0.0000 0.0000 0.0000
2 Li 0.5000 0.5000 0.5000
3 Al 0.2382 0.2382 0.2382
4 Al 0.7618 0.7618 0.7618
5 F 0.1088 0.7631 0.4719
6 F 0.2369 0.5281 0.8912
7 F 0.3138 0.3138 0.3138
8 F 0.4719 0.1088 0.7631
9 F 0.5281 0.8912 0.2369
10 F 0.6862 0.6862 0.6862
11 F 0.7631 0.4719 0.1088
12 F 0.8912 0.2369 0.5281

Results
The uncorrected formation energy comes out at -3.28 eV per atom. Its symmetry is No. 148.


> The lowest uncorrected formation energy belongs to which entry?

KLiAl2F8